(1)
DFT (PBE-GGA) results for NdGdZr after structural relaxation.

a b c (Å): 3.403 5.459 5.459
angles (deg): 120.00 90.00 90.00
Fractional positions:
Gd1 0.667 0.667 0.333
Nd1 0.167 0.000 0.000
Zr1 0.167 0.333 0.667

Summary:
The magnetic moment is 7.12 μB per formula unit. As for the density: 7.425 g/cm³. As for the space-group type: No. 187. The polymorph energy (0 for the lowest one) comes out at 56 meV/atom. The formation energy comes out at 164 meV/atom.

(2)
DFT (PBE-GGA) results for NdGdZr after structural relaxation.

a b c (Å): 3.418 3.418 7.957
angles (deg): 102.40 102.40 90.00
Fractional positions:
Gd1 0.987 0.987 0.974
Nd1 0.677 0.677 0.354
Zr1 0.336 0.336 0.672

Summary:
The magnetic moment is 7.27 μB per formula unit. As for the density: 7.362 g/cm³. As for the space-group type: No. 107. The polymorph energy (0 for the lowest one) comes out at 0 meV/atom. The formation energy comes out at 108 meV/atom.

The records above yield VASP energy values of -8.968 -9.024 eV per atom, respectively.